Entry 1:
Crystalline RbAcP2S8 at its relaxed geometry. Source: the Alexandria database, functional GGA-PBE.

```
data_RbAcP2S8
_chemical_formula_sum 'Rb1 Ac1 P2 S8'
_cell_length_a 6.291
_cell_length_b 6.291
_cell_length_c 10.019
_cell_angle_alpha 90.00
_cell_angle_beta 90.00
_cell_angle_gamma 120.00
_space_group_name_H-M_alt 'P 1'
_space_group_IT_number 1
_space_group_name_Hall 'P 1'
loop_
_atom_site_label
_atom_site_fract_x
_atom_site_fract_y
_atom_site_fract_z
_atom_site_occupancy
S1 0.387 0.390 0.320 1
S2 0.333 0.667 0.941 1
S3 0.003 0.613 0.320 1
S4 0.667 0.333 0.059 1
S5 0.997 0.387 0.680 1
S6 0.613 0.610 0.680 1
S7 0.610 0.997 0.320 1
S8 0.390 0.003 0.680 1
P1 0.667 0.333 0.262 1
P2 0.333 0.667 0.738 1
Ac1 0.000 0.000 0.500 1
Rb1 0.000 0.000 0.000 1
```

Output
Its space group is P-3 (147). The total magnetization comes out at 1.96 μB per formula unit. Its uncorrected formation energy is -0.63 eV/atom.

---

Entry 2:
Crystalline RhSe at its relaxed geometry. Source: the Alexandria database, functional GGA-PBE.

```
data_RhSe
_chemical_formula_sum 'Rh4 Se4'
_cell_length_a 7.145
_cell_length_b 7.145
_cell_length_c 3.434
_cell_angle_alpha 90.00
_cell_angle_beta 90.00
_cell_angle_gamma 90.00
_space_group_name_H-M_alt 'P 1'
_space_group_IT_number 1
_space_group_name_Hall 'P 1'
loop_
_atom_site_label
_atom_site_fract_x
_atom_site_fract_y
_atom_site_fract_z
_atom_site_occupancy
Rh1 0.635 0.635 0.000 1
Rh2 0.865 0.135 0.500 1
Rh3 0.135 0.865 0.500 1
Rh4 0.365 0.365 0.000 1
Se1 0.199 0.199 0.500 1
Se2 0.801 0.801 0.500 1
Se3 0.699 0.301 0.000 1
Se4 0.301 0.699 0.000 1
```

Output
Its space group is P4_2/mnm (136). The total magnetization comes out at 0.00 μB per formula unit. Its uncorrected formation energy is -0.23 eV/atom.

---

Entry 3:
Crystalline KLi2AsI6 at its relaxed geometry. Source: the Alexandria database, functional GGA-PBE.

```
data_KLi2AsI6
_chemical_formula_sum 'K1 Li2 As1 I6'
_cell_length_a 7.379
_cell_length_b 7.377
_cell_length_c 9.457
_cell_angle_alpha 66.99
_cell_angle_beta 67.01
_cell_angle_gamma 60.00
_space_group_name_H-M_alt 'P 1'
_space_group_IT_number 1
_space_group_name_Hall 'P 1'
loop_
_atom_site_label
_atom_site_fract_x
_atom_site_fract_y
_atom_site_fract_z
_atom_site_occupancy
Li1 0.984 0.984 0.049 1
Li2 0.649 0.648 0.054 1
I1 0.570 0.255 0.248 1
I2 0.926 0.571 0.248 1
I3 0.256 0.926 0.247 1
I4 0.706 0.062 0.855 1
I5 0.061 0.377 0.855 1
I6 0.377 0.706 0.855 1
As1 0.316 0.316 0.051 1
K1 0.817 0.816 0.552 1
```

Output
Its space group is P1 (1). The total magnetization comes out at 0.00 μB per formula unit. Its uncorrected formation energy is -0.83 eV/atom.

---

Entry 4:
Crystalline RePtSe2 at its relaxed geometry. Source: the Alexandria database, functional GGA-PBE.

```
data_RePtSe2
_chemical_formula_sum 'Re1 Pt1 Se2'
_cell_length_a 6.618
_cell_length_b 6.618
_cell_length_c 4.712
_cell_angle_alpha 83.77
_cell_angle_beta 83.77
_cell_angle_gamma 26.15
_space_group_name_H-M_alt 'P 1'
_space_group_IT_number 1
_space_group_name_Hall 'P 1'
loop_
_atom_site_label
_atom_site_fract_x
_atom_site_fract_y
_atom_site_fract_z
_atom_site_occupancy
Se1 0.603 0.603 0.450 1
Se2 0.897 0.897 0.050 1
Pt1 0.750 0.750 0.750 1
Re1 0.250 0.250 0.250 1
```

Output
Its space group is C2/m (12). The total magnetization comes out at 0.00 μB per formula unit. Its uncorrected formation energy is 0.11 eV/atom.

---

| no. | uncorrected energy (eV per atom) |
| --- | --- |
| 1 | -4.706 |
| 2 | -5.644 |
| 3 | -2.722 |
| 4 | -6.253 |